RbLi2U3S6 | PBE | optimized geometry

## Properties
Its crystal system is monoclinic. The calculation puts the volume at 310.1 Å³/cell. The calculation puts the uncorrected formation energy at -1306 meV per atom.

Unit cell a=9.4938 b=9.4938 c=9.2421 alpha=112.81 beta=112.81 gamma=23.92
Atoms (fractional coordinates):
Rb  0.0000  0.0000  0.0000
Li  0.3588  0.3588  0.5649
Li  0.6412  0.6412  0.4351
U  0.0000  0.0000  0.5000
U  0.3331  0.3331  0.1758
U  0.6669  0.6669  0.8242
S  0.1644  0.1644  0.6035
S  0.1751  0.1751  0.0346
S  0.4979  0.4979  0.2874
S  0.5021  0.5021  0.7126
S  0.8249  0.8249  0.9654
S  0.8356  0.8356  0.3965